Entry 1:
TaPt PBE relaxed; spin magnetization = 0.0001 μB per atom; uncorrected energy = -9.41 eV per atom; formation energy = -0.468 eV/atom; space-group type = I4_1/amd
1.0
-2.002 2.002 4.163
2.002 -2.002 4.163
2.002 2.002 -4.163
Ta Pt
2 2
Direct
0.375 0.625 0.750
0.625 0.375 0.250
0.125 0.875 0.250
0.875 0.125 0.750

Entry 2:
Ta3Pt PBE relaxed; spin magnetization = 0.0000 μB per atom; uncorrected energy = -10.65 eV per atom; formation energy = -0.246 eV/atom; space-group type = Fm-3m
1.0
0.000 3.263 3.263
3.263 0.000 3.263
3.263 3.263 0.000
Ta Pt
3 1
Direct
0.000 0.000 0.000
0.250 0.250 0.250
0.750 0.750 0.750
0.500 0.500 0.500

Entry 3:
Ta3Pt PBE relaxed; spin magnetization = 0.0000 μB per atom; uncorrected energy = -10.60 eV per atom; formation energy = -0.202 eV/atom; space-group type = C2/m
1.0
5.020 -1.454 0.000
5.020 1.454 0.000
-1.337 0.000 4.839
Ta Pt
3 1
Direct
0.000 0.000 0.000
0.241 0.241 0.737
0.759 0.759 0.263
0.500 0.500 0.500

Entry 4:
Ta3Pt PBE relaxed; spin magnetization = 0.0000 μB per atom; uncorrected energy = -10.64 eV per atom; formation energy = -0.244 eV/atom; space-group type = P2_1/m
1.0
5.249 0.000 0.000
0.000 5.611 0.000
-2.135 0.000 9.556
Ta Pt
12 4
Direct
0.076 0.250 0.379
0.198 0.001 0.120
0.198 0.499 0.120
0.296 0.250 0.868
0.417 0.004 0.629
0.417 0.496 0.629
0.583 0.504 0.371
0.583 0.996 0.371
0.704 0.750 0.132
0.802 0.501 0.880
0.802 0.999 0.880
0.924 0.750 0.621
0.105 0.750 0.376
0.301 0.750 0.875
0.699 0.250 0.125
0.895 0.250 0.624